## Ac2Pm8Y (PBE)

Data for an optimized crystal structure of Ac2Pm8Y.

Properties
Formation energy = 0.190 eV/atom
Spin magnetization = 0.0 μB per cell
Excess energy over the best structure of this formula in the dataset = 44 meV per atom

Lattice parameters (Å, degrees): 19.991 7.166 5.756 90.00 93.36 90.00
Space group C2/m (No. 12)
One atom of each set of equivalent atoms:
Ac (0.219, 0.000, 0.259) x4
Pm (0.044, 0.000, 0.234) x4
Pm (0.122, 0.236, 0.732) x8
Pm (0.177, 0.500, 0.223) x4
Y (0.000, 0.500, 0.000) x2